PmCoAgSn | PBE | optimized geometry

Lattice parameters (Å, degrees): 4.8580 4.8580 4.8580 60.00 60.00 60.00
Sites, in units of the cell vectors:
Pm: 0.0000 0.0000 0.0000
Co: 0.7500 0.7500 0.7500
Ag: 0.2500 0.2500 0.2500
Sn: 0.5000 0.5000 0.5000

Output
SG: F-43m, No. 216
DOS(E_F) (states/eV/atom): 0.67

TbPmCoAg | PBE | optimized geometry

Lattice parameters (Å, degrees): 5.0231 5.0231 5.0231 60.00 60.00 60.00
Sites, in units of the cell vectors:
Tb: 0.0000 0.0000 0.0000
Pm: 0.5000 0.5000 0.5000
Co: 0.2500 0.2500 0.2500
Ag: 0.7500 0.7500 0.7500

Output
SG: F-43m, No. 216
DOS(E_F) (states/eV/atom): 0.78

PmTmCoAg | PBE | optimized geometry

Lattice parameters (Å, degrees): 4.9791 4.9791 4.9791 60.00 60.00 60.00
Sites, in units of the cell vectors:
Pm: 0.0000 0.0000 0.0000
Tm: 0.5000 0.5000 0.5000
Co: 0.7500 0.7500 0.7500
Ag: 0.2500 0.2500 0.2500

Output
SG: F-43m, No. 216
DOS(E_F) (states/eV/atom): 0.76

Pr2CoAg | PBE | optimized geometry

Lattice parameters (Å, degrees): 5.1605 5.1605 5.1605 60.00 60.00 60.00
Sites, in units of the cell vectors:
Pr: 0.2500 0.2500 0.2500
Pr: 0.7500 0.7500 0.7500
Co: 0.0000 0.0000 0.0000
Ag: 0.5000 0.5000 0.5000

Output
SG: Fm-3m, No. 225
DOS(E_F) (states/eV/atom): 0.96
Energy above the most stable polymorph in this dataset (meV/atom): 57

Pr6CoAg2 | PBE | optimized geometry

Lattice parameters (Å, degrees): 6.9790 7.5316 12.5780 90.00 123.12 90.00
Sites, in units of the cell vectors:
Pr: 0.1296 0.1908 0.4476
Pr: 0.1296 0.3092 0.9476
Pr: 0.2623 0.6899 0.4464
Pr: 0.2623 0.8101 0.9464
Pr: 0.3679 0.0146 0.2494
Pr: 0.3679 0.4854 0.7494
Pr: 0.6321 0.5146 0.2506
Pr: 0.6321 0.9854 0.7506
Pr: 0.7377 0.1899 0.0536
Pr: 0.7377 0.3101 0.5536
Pr: 0.8704 0.6908 0.0524
Pr: 0.8704 0.8092 0.5524
Co: 0.5000 0.0000 0.5000
Co: 0.5000 0.5000 0.0000
Ag: 0.1950 0.0973 0.7455
Ag: 0.1950 0.4027 0.2455
Ag: 0.8050 0.5973 0.7545
Ag: 0.8050 0.9027 0.2545

Output
SG: P2_1/c, No. 14
DOS(E_F) (states/eV/atom): 1.21
Energy above the most stable polymorph in this dataset (meV/atom): 0

Pr6CoAg | PBE | optimized geometry

Lattice parameters (Å, degrees): 6.7125 6.7125 6.7621 99.59 99.59 113.97
Sites, in units of the cell vectors:
Pr: 0.0138 0.3797 0.2451
Pr: 0.2507 0.2507 0.7895
Pr: 0.3797 0.0138 0.2451
Pr: 0.6203 0.9862 0.7549
Pr: 0.7493 0.7493 0.2105
Pr: 0.9862 0.6203 0.7549
Co: 0.0000 0.0000 0.0000
Ag: 0.5000 0.5000 0.5000

Output
SG: C2/m, No. 12
DOS(E_F) (states/eV/atom): 1.40
Energy above the most stable polymorph in this dataset (meV/atom): 0

Pr2CoAg | PBE | optimized geometry

Lattice parameters (Å, degrees): 8.0250 8.0250 8.0250 28.95 28.95 28.95
Sites, in units of the cell vectors:
Pr: 0.2341 0.2341 0.2341
Pr: 0.7659 0.7659 0.7659
Co: 0.5000 0.5000 0.5000
Ag: 0.0000 0.0000 0.0000

Output
SG: R-3m, No. 166
DOS(E_F) (states/eV/atom): 0.54
Energy above the most stable polymorph in this dataset (meV/atom): 58

Pr6CoAg2 | PBE | optimized geometry

Lattice parameters (Å, degrees): 8.7993 8.7993 8.7993 111.66 109.47 107.31
Sites, in units of the cell vectors:
Pr: 0.0841 0.2493 0.8348
Pr: 0.1809 0.2723 0.4533
Pr: 0.1809 0.7277 0.9086
Pr: 0.2769 0.6113 0.3344
Pr: 0.2769 0.9425 0.6656
Pr: 0.4146 0.2493 0.1652
Pr: 0.5854 0.7507 0.8348
Pr: 0.7231 0.0575 0.3344
Pr: 0.7231 0.3887 0.6656
Pr: 0.8191 0.2723 0.0914
Pr: 0.8191 0.7277 0.5467
Pr: 0.9159 0.7507 0.1652
Co: 0.0000 0.0000 0.0000
Co: 0.0000 0.5000 0.5000
Ag: 0.3522 0.0000 0.3522
Ag: 0.5000 0.3637 0.8637
Ag: 0.5000 0.6363 0.1363
Ag: 0.6478 0.0000 0.6478

Output
SG: Immm, No. 71
DOS(E_F) (states/eV/atom): 0.96
Energy above the most stable polymorph in this dataset (meV/atom): 45

Pr3CoAg | PBE | optimized geometry

Lattice parameters (Å, degrees): 8.4181 4.0564 8.6342 90.00 107.41 90.00
Sites, in units of the cell vectors:
Pr: 0.0582 0.2500 0.2721
Pr: 0.3106 0.2500 0.9495
Pr: 0.3320 0.7500 0.6016
Pr: 0.6680 0.2500 0.3984
Pr: 0.6894 0.7500 0.0505
Pr: 0.9418 0.7500 0.7279
Co: 0.0950 0.2500 0.6091
Co: 0.9050 0.7500 0.3909
Ag: 0.3516 0.7500 0.2338
Ag: 0.6484 0.2500 0.7662

Output
SG: P2_1/m, No. 11
DOS(E_F) (states/eV/atom): 0.96
Energy above the most stable polymorph in this dataset (meV/atom): 14

Pr2CoAg | PBE | optimized geometry

Lattice parameters (Å, degrees): 6.8486 6.8486 9.1930 115.50 115.50 31.76
Sites, in units of the cell vectors:
Pr: 0.0863 0.0863 0.2124
Pr: 0.1367 0.1367 0.6655
Pr: 0.8633 0.8633 0.3345
Pr: 0.9137 0.9137 0.7876
Co: 0.3047 0.3047 0.5216
Co: 0.6953 0.6953 0.4784
Ag: 0.3444 0.3444 0.0288
Ag: 0.6556 0.6556 0.9712

Output
SG: C2/m, No. 12
DOS(E_F) (states/eV/atom): 0.98
Energy above the most stable polymorph in this dataset (meV/atom): 16

Pr5CoAg | PBE | optimized geometry

Lattice parameters (Å, degrees): 6.2124 6.2124 11.9235 104.43 104.43 73.24
Sites, in units of the cell vectors:
Pr: 0.0150 0.9850 0.7500
Pr: 0.0713 0.4138 0.1324
Pr: 0.2067 0.5575 0.4439
Pr: 0.4138 0.0713 0.6324
Pr: 0.4425 0.7933 0.0561
Pr: 0.5575 0.2067 0.9439
Pr: 0.5862 0.9287 0.3676
Pr: 0.7933 0.4425 0.5561
Pr: 0.9287 0.5862 0.8676
Pr: 0.9850 0.0150 0.2500
Co: 0.0000 0.0000 0.0000
Co: 0.0000 0.0000 0.5000
Ag: 0.4268 0.5732 0.7500
Ag: 0.5732 0.4268 0.2500

Output
SG: C2/c, No. 15
DOS(E_F) (states/eV/atom): 1.15

PrCo4Ag | PBE | optimized geometry

Lattice parameters (Å, degrees): 5.0582 5.0582 5.0582 60.00 60.00 60.00
Sites, in units of the cell vectors:
Pr: 0.0000 0.0000 0.0000
Co: 0.1274 0.6242 0.6242
Co: 0.6242 0.1274 0.6242
Co: 0.6242 0.6242 0.1274
Co: 0.6242 0.6242 0.6242
Ag: 0.2500 0.2500 0.2500

Output
SG: F-43m, No. 216
DOS(E_F) (states/eV/atom): 1.09

Pr12Co6Ag | PBE | optimized geometry

Lattice parameters (Å, degrees): 8.7193 8.7193 8.7193 109.47 109.47 109.47
Sites, in units of the cell vectors:
Pr: 0.1128 0.3062 0.8065
Pr: 0.1935 0.4997 0.3062
Pr: 0.1935 0.8872 0.6938
Pr: 0.3062 0.1935 0.4997
Pr: 0.3062 0.8065 0.1128
Pr: 0.4997 0.3062 0.1935
Pr: 0.5003 0.6938 0.8065
Pr: 0.6938 0.1935 0.8872
Pr: 0.6938 0.8065 0.5003
Pr: 0.8065 0.1128 0.3062
Pr: 0.8065 0.5003 0.6938
Pr: 0.8872 0.6938 0.1935
Co: 0.1111 0.5000 0.6111
Co: 0.3889 0.8889 0.5000
Co: 0.5000 0.3889 0.8889
Co: 0.5000 0.6111 0.1111
Co: 0.6111 0.1111 0.5000
Co: 0.8889 0.5000 0.3889
Ag: 0.0000 0.0000 0.0000

Output
SG: Im-3, No. 204
DOS(E_F) (states/eV/atom): 0.81

Pr4CoAg2 | PBE | optimized geometry

Lattice parameters (Å, degrees): 8.6083 8.6083 8.6083 144.61 144.61 50.92
Sites, in units of the cell vectors:
Pr: 0.0000 0.5000 0.5000
Pr: 0.1817 0.1817 0.0000
Pr: 0.5000 0.0000 0.5000
Pr: 0.8183 0.8183 0.0000
Co: 0.0000 0.0000 0.0000
Ag: 0.3757 0.3757 0.0000
Ag: 0.6243 0.6243 0.0000

Output
SG: I4/mmm, No. 139
DOS(E_F) (states/eV/atom): 1.54

Pr4CoAg3 | PBE | optimized geometry

Lattice parameters (Å, degrees): 3.6464 3.6464 15.4153 90.00 90.00 90.00
Sites, in units of the cell vectors:
Pr: 0.0000 0.0000 0.1096
Pr: 0.0000 0.0000 0.3710
Pr: 0.0000 0.0000 0.6290
Pr: 0.0000 0.0000 0.8904
Co: 0.5000 0.5000 0.0000
Ag: 0.5000 0.5000 0.2423
Ag: 0.5000 0.5000 0.5000
Ag: 0.5000 0.5000 0.7577

Output
SG: P4/mmm, No. 123
DOS(E_F) (states/eV/atom): 0.95

Pr2CoAg | PBE | optimized geometry

Lattice parameters (Å, degrees): 3.5448 3.5448 7.7274 90.00 90.00 90.00
Sites, in units of the cell vectors:
Pr: 0.0000 0.0000 0.2229
Pr: 0.0000 0.0000 0.7771
Co: 0.5000 0.5000 0.0000
Ag: 0.5000 0.5000 0.5000

Output
SG: P4/mmm, No. 123
DOS(E_F) (states/eV/atom): 0.94
Energy above the most stable polymorph in this dataset (meV/atom): 0

Pr5Co2Ag2 | PBE | optimized geometry

Lattice parameters (Å, degrees): 9.0300 9.0300 7.5975 90.00 90.00 49.73
Sites, in units of the cell vectors:
Pr: 0.0000 0.0000 0.0000
Pr: 0.0577 0.6932 0.6821
Pr: 0.1932 0.5577 0.1821
Pr: 0.3068 0.9423 0.6821
Pr: 0.4423 0.8068 0.1821
Pr: 0.5000 0.5000 0.5000
Pr: 0.5577 0.1932 0.8179
Pr: 0.6932 0.0577 0.3179
Pr: 0.8068 0.4423 0.8179
Pr: 0.9423 0.3068 0.3179
Co: 0.1073 0.8927 0.3914
Co: 0.3927 0.6073 0.8914
Co: 0.6073 0.3927 0.1086
Co: 0.8927 0.1073 0.6086
Ag: 0.2191 0.2191 0.0000
Ag: 0.2809 0.2809 0.5000
Ag: 0.7191 0.7191 0.5000
Ag: 0.7809 0.7809 0.0000

Output
SG: Cmce, No. 64
DOS(E_F) (states/eV/atom): 1.13

Pr5Co2Ag | PBE | optimized geometry

Lattice parameters (Å, degrees): 8.8544 8.8544 8.8544 127.19 127.19 77.94
Sites, in units of the cell vectors:
Pr: 0.0000 0.0000 0.0000
Pr: 0.0282 0.5282 0.8214
Pr: 0.2068 0.0282 0.5000
Pr: 0.2932 0.7932 0.8214
Pr: 0.4718 0.2932 0.5000
Pr: 0.5000 0.5000 0.0000
Pr: 0.5282 0.7068 0.5000
Pr: 0.7068 0.2068 0.1786
Pr: 0.7932 0.9718 0.5000
Pr: 0.9718 0.4718 0.1786
Co: 0.1338 0.3662 0.5000
Co: 0.3662 0.8662 0.2324
Co: 0.6338 0.1338 0.7676
Co: 0.8662 0.6338 0.5000
Ag: 0.2500 0.2500 0.0000
Ag: 0.7500 0.7500 0.0000

Output
SG: I4/mcm, No. 140
DOS(E_F) (states/eV/atom): 1.10

Pr6Co2Ag | PBE | optimized geometry

Lattice parameters (Å, degrees): 8.6656 8.6656 8.6656 112.44 108.46 107.55
Sites, in units of the cell vectors:
Pr: 0.0294 0.2286 0.8008
Pr: 0.1796 0.2856 0.4653
Pr: 0.1796 0.7144 0.8940
Pr: 0.3245 0.0115 0.6870
Pr: 0.3245 0.6375 0.3130
Pr: 0.4278 0.2286 0.1992
Pr: 0.5722 0.7714 0.8008
Pr: 0.6755 0.3625 0.6870
Pr: 0.6755 0.9885 0.3130
Pr: 0.8204 0.2856 0.1060
Pr: 0.8204 0.7144 0.5347
Pr: 0.9706 0.7714 0.1992
Co: 0.1129 0.6129 0.5000
Co: 0.3414 0.0000 0.3414
Co: 0.6586 0.0000 0.6586
Co: 0.8871 0.3871 0.5000
Ag: 0.0000 0.0000 0.0000
Ag: 0.5000 0.5000 0.0000

Output
SG: Immm, No. 71
DOS(E_F) (states/eV/atom): 1.00
Energy above the most stable polymorph in this dataset (meV/atom): 0

Pr3CoAg | PBE | optimized geometry

Lattice parameters (Å, degrees): 5.3298 5.3298 5.3298 90.00 90.00 90.00
Sites, in units of the cell vectors:
Pr: 0.0000 0.0000 0.5000
Pr: 0.0000 0.5000 0.0000
Pr: 0.5000 0.0000 0.0000
Co: 0.0000 0.0000 0.0000
Ag: 0.5000 0.5000 0.5000

Output
SG: Pm-3m, No. 221
DOS(E_F) (states/eV/atom): 1.12
Energy above the most stable polymorph in this dataset (meV/atom): 165

Number 1: theoretical density 8.8 g/cm³, calculated formation energy -162 meV per atom, VASP energy -4.839 eV per atom. Number 2: theoretical density 8.7 g/cm³, calculated formation energy -120 meV per atom, VASP energy -4.954 eV per atom. Number 3: theoretical density 9.1 g/cm³, calculated formation energy -142 meV per atom, VASP energy -4.937 eV per atom. Number 4: theoretical density 7.7 g/cm³, calculated formation energy -31 meV per atom, VASP energy -4.910 eV per atom. Number 5: theoretical density 6.7 g/cm³, calculated formation energy -82 meV per atom, VASP energy -4.691 eV per atom. Number 6: theoretical density 6.3 g/cm³, calculated formation energy 57 meV per atom, VASP energy -4.772 eV per atom. Number 7: theoretical density 7.0 g/cm³, calculated formation energy -30 meV per atom, VASP energy -4.909 eV per atom. Number 8: theoretical density 7.1 g/cm³, calculated formation energy -37 meV per atom, VASP energy -4.646 eV per atom. Number 9: theoretical density 7.0 g/cm³, calculated formation energy -93 meV per atom, VASP energy -4.952 eV per atom. Number 10: theoretical density 7.3 g/cm³, calculated formation energy -72 meV per atom, VASP energy -4.951 eV per atom. Number 11: theoretical density 6.9 g/cm³, calculated formation energy 5 meV per atom, VASP energy -4.832 eV per atom. Number 12: theoretical density 8.8 g/cm³, calculated formation energy 75 meV per atom, VASP energy -5.934 eV per atom. Number 13: theoretical density 7.0 g/cm³, calculated formation energy -79 meV per atom, VASP energy -5.492 eV per atom. Number 14: theoretical density 6.5 g/cm³, calculated formation energy 0 meV per atom, VASP energy -4.561 eV per atom. Number 15: theoretical density 7.7 g/cm³, calculated formation energy -157 meV per atom, VASP energy -4.504 eV per atom. Number 16: theoretical density 7.7 g/cm³, calculated formation energy -88 meV per atom, VASP energy -4.967 eV per atom. Number 17: theoretical density 7.3 g/cm³, calculated formation energy -91 meV per atom, VASP energy -4.958 eV per atom. Number 18: theoretical density 7.2 g/cm³, calculated formation energy -93 meV per atom, VASP energy -5.213 eV per atom. Number 19: theoretical density 7.1 g/cm³, calculated formation energy -93 meV per atom, VASP energy -5.176 eV per atom. Number 20: theoretical density 6.5 g/cm³, calculated formation energy 58 meV per atom, VASP energy -4.801 eV per atom.